VASP calculation (PBE-GGA) on a relaxed structure of ErPuCuO6.

Results
ΔE_f (raw) = -2059.9 meV per atom
Calculated total energy = -7.920 eV per atom
Space group = No. 149

a = 5.5883 Å, b = 5.5883 Å, c = 4.4146 Å
α = 90.00°, β = 90.00°, γ = 120.00°
Sites, in units of the cell vectors:
Er (0.0000, 0.0000, 0.0000)
Pu (0.3333, 0.6667, 0.0000)
Cu (0.6667, 0.3333, 0.5000)
O (0.0224, 0.3616, 0.2409)
O (0.0224, 0.6608, 0.7591)
O (0.3392, 0.3616, 0.7591)
O (0.3392, 0.9776, 0.2409)
O (0.6384, 0.6608, 0.2409)
O (0.6384, 0.9776, 0.7591)